A relaxed structure of HfCu4Ir, computed with GGA-PBE.

## Properties
formation enthalpy at 0 K = -0.270 eV/atom
uncorrected energy = -36.82 eV/cell
crystal system = cubic
symmetry = No. 216
calculated density = 12.88 Mg/m³

Cell: 4.848 4.848 4.848 Å, 60.00 60.00 60.00°
Fractional coordinates of all 6 atoms:
Hf  0.000  0.000  0.000
Cu  0.625  0.625  0.625
Cu  0.126  0.625  0.625
Ir  0.250  0.250  0.250
Cu  0.625  0.126  0.625
Cu  0.625  0.625  0.126

---

A relaxed structure of Hf4CuIr2, computed with GGA-PBE.

## Properties
formation enthalpy at 0 K = -0.523 eV/atom
uncorrected energy = -65.29 eV/cell
crystal system = tetragonal
symmetry = No. 139
calculated density = 14.26 Mg/m³

Cell: 5.602 5.602 5.602 Å, 110.08 109.17 109.17°
Fractional coordinates of all 7 atoms:
Hf  0.000  0.000  0.500
Hf  0.500  0.000  0.000
Ir  0.500  0.000  0.500
Hf  0.000  0.500  0.000
Hf  0.500  0.500  0.500
Ir  0.500  0.500  0.000
Cu  0.000  0.000  0.000

---

A relaxed structure of HfCuIr2, computed with GGA-PBE.

## Properties
formation enthalpy at 0 K = -0.520 eV/atom
uncorrected energy = -33.85 eV/cell
crystal system = tetragonal
symmetry = No. 123
calculated density = 16.89 Mg/m³

Cell: 3.239 3.239 5.871 Å, 90.00 90.00 90.00°
Fractional coordinates of all 4 atoms:
Ir  0.000  0.000  0.732
Hf  0.500  0.500  0.000
Ir  0.000  0.000  0.268
Cu  0.500  0.500  0.500

---

A relaxed structure of Hf3CuIr2, computed with GGA-PBE.

## Properties
formation enthalpy at 0 K = -0.686 eV/atom
uncorrected energy = -111.59 eV/cell
crystal system = orthorhombic
symmetry = No. 65
calculated density = 15.57 Mg/m³

Cell: 4.616 7.313 6.549 Å, 90.00 90.00 71.60°
Fractional coordinates of all 12 atoms:
Ir  0.337  0.326  0.500
Ir  0.000  0.000  0.000
Hf  0.500  0.000  0.751
Hf  0.500  0.000  0.249
Hf  0.833  0.334  0.250
Ir  0.000  0.000  0.500
Ir  0.663  0.674  0.500
Hf  0.833  0.334  0.750
Cu  0.329  0.343  0.000
Hf  0.167  0.666  0.750
Cu  0.671  0.657  0.000
Hf  0.167  0.666  0.250

---

Which of these has the highest uncorrected energy?
HfCuIr2